No. 1
## CrSb (PBE)

Data for a relaxed structure of CrSb.

Unit cell a=3.1646 b=16.7909 c=4.3973 alpha=90.00 beta=90.00 gamma=90.00
With the nearest neighbours (Å) after each atom.
Space group Pmmn (No. 59, origin choice 2)
Symmetry-distinct sites (fractional):
Cr1 0.2500 0.0451 0.0563 [4 per cell]  2 Cr 2.25
Cr2 0.2500 0.7500 0.5574 [2 per cell]  6 Sb 2.69-2.73
Sb1 0.2500 0.2500 0.9485 [2 per cell]  4 Cr 2.69-2.73
Sb2 0.2500 0.5905 0.4339 [4 per cell]  6 Cr 2.73-2.85

- total energy (eV per atom) = -6.45

No. 2
## Cr3GeH (PBE)

Data for a relaxed structure of Cr3GeH.

Unit cell a=3.7218 b=3.7218 c=3.7218 alpha=90.00 beta=90.00 gamma=90.00
With the nearest neighbours (Å) after each atom.
Space group Pm-3m (No. 221)
Symmetry-distinct sites (fractional):
Cr1 0.0000 0.0000 0.5000 [3 per cell]  2 H 1.86
Ge1 0.5000 0.5000 0.5000 [1 per cell]  12 Cr 2.63
H1 0.0000 0.0000 0.0000 [1 per cell]  6 Cr 1.86

- total energy (eV per atom) = -7.30
- polymorph energy (0 for the lowest one) (meV per atom) = 0.0

No. 3
## Ac2YNpSe6 (PBE)

Data for a relaxed structure of Ac2YNpSe6.

Unit cell a=7.6091 b=7.6091 c=19.7597 alpha=90.00 beta=90.00 gamma=120.00
With the nearest neighbours (Å) after each atom.
Space group R3 (No. 146, hexagonal axes)
Symmetry-distinct sites (fractional):
Ac1 0.0000 0.0000 0.0000 [3 per cell]  6 Se 3.10-3.17
Ac2 0.0000 0.0000 0.4984 [3 per cell]  6 Se 3.10-3.17
Y1 0.0000 0.0000 0.7067 [3 per cell]  6 Se 2.85-2.90
Np1 0.0000 0.0000 0.2071 [3 per cell]  6 Se 2.89-2.95
Se1 0.0582 0.3502 0.7784 [9 per cell]  1 Y 2.85, 1 Np 2.95, 2 Ac 3.10-3.17
Se2 0.0603 0.7038 0.2793 [9 per cell]  1 Np 2.89, 1 Y 2.90, 2 Ac 3.10-3.17

- total energy (eV per atom) = -6.56

No. 4
## EuCdPt (PBE)

Data for a relaxed structure of EuCdPt.

Unit cell a=4.7135 b=4.7135 c=3.8454 alpha=90.00 beta=90.00 gamma=120.00
With the nearest neighbours (Å) after each atom.
Space group P-6m2 (No. 187)
Symmetry-distinct sites (fractional):
Eu1 0.0000 0.0000 0.0000 [1 per cell]  6 Cd 3.33, 6 Pt 3.33
Cd1 0.6667 0.3333 0.5000 [1 per cell]  3 Pt 2.72
Pt1 0.3333 0.6667 0.5000 [1 per cell]  3 Cd 2.72

- total energy (eV per atom) = -6.37
- DFT formation energy (eV per atom) = -0.6235

No. 5
## ZnBIr2 (PBE)

Data for a relaxed structure of ZnBIr2.

Unit cell a=2.8977 b=12.0986 c=5.7195 alpha=90.00 beta=90.00 gamma=90.00
With the nearest neighbours (Å) after each atom.
Space group Cmcm (No. 63)
Symmetry-distinct sites (fractional):
Zn1 0.0000 0.0022 0.2500 [4 per cell]  1 B 2.61, 8 Ir 2.69-2.74, 4 Zn 2.86-2.90
B1 0.0000 0.2134 0.7500 [4 per cell]  6 Ir 2.19-2.20
Ir1 0.0000 0.3518 0.5017 [8 per cell]  3 B 2.19-2.20

- total energy (eV per atom) = -6.68
- polymorph energy (0 for the lowest one) (meV per atom) = 0.0
- DFT formation energy (eV per atom) = -0.2629

No. 6
## Pa2AlCo (PBE)

Data for a relaxed structure of Pa2AlCo.

Unit cell a=3.2407 b=3.2407 c=29.9100 alpha=90.00 beta=90.00 gamma=120.00
With the nearest neighbours (Å) after each atom.
Space group R-3m (No. 166, hexagonal axes)
Symmetry-distinct sites (fractional):
Pa1 0.0000 0.0000 0.1039 [6 per cell]  3 Co 2.65
Al1 0.0000 0.0000 0.0000 [3 per cell]  2 Pa 3.11, 6 Al 3.24
Co1 0.0000 0.0000 0.5000 [3 per cell]  6 Pa 2.65

- total energy (eV per atom) = -7.17
- polymorph energy (0 for the lowest one) (meV per atom) = 474.1
- DFT formation energy (eV per atom) = 0.2944

No. 7
## CaGdPdSe (PBE)

Data for a relaxed structure of CaGdPdSe.

Unit cell a=7.1803 b=7.1803 c=7.1803 alpha=90.00 beta=90.00 gamma=90.00
With the nearest neighbours (Å) after each atom.
Space group F-43m (No. 216)
Symmetry-distinct sites (fractional):
Ca1 0.0000 0.0000 0.0000 [4 per cell]  4 Pd 3.11, 4 Se 3.11
Gd1 0.0000 0.0000 0.5000 [4 per cell]  4 Se 3.11, 4 Pd 3.11
Pd1 0.2500 0.2500 0.2500 [4 per cell]  4 Gd 3.11, 4 Ca 3.11
Se1 0.2500 0.2500 0.7500 [4 per cell]  4 Ca 3.11, 4 Gd 3.11

- total energy (eV per atom) = -7.19

No. 8
## SrScAgSb2 (PBE)

Data for a relaxed structure of SrScAgSb2.

Unit cell a=5.4550 b=5.4550 c=5.4068 alpha=90.00 beta=90.00 gamma=90.00
With the nearest neighbours (Å) after each atom.
Space group P4/mmm (No. 123)
Symmetry-distinct sites (fractional):
Sr1 0.0000 0.0000 0.0000 [1 per cell]  8 Sb 3.84, 4 Ag 3.86
Sc1 0.5000 0.5000 0.5000 [1 per cell]  2 Ag 2.70, 4 Sb 2.73
Ag1 0.5000 0.5000 0.0000 [1 per cell]  2 Sc 2.70
Sb1 0.0000 0.5000 0.5000 [2 per cell]  2 Sc 2.73

- total energy (eV per atom) = -4.15

No. 9
## Li2VAs2 (PBE)

Data for a relaxed structure of Li2VAs2.

Unit cell a=4.6275 b=4.6275 c=7.5030 alpha=90.00 beta=90.00 gamma=90.00
With the nearest neighbours (Å) after each atom.
Space group I4/mmm (No. 139)
Symmetry-distinct sites (fractional):
Li1 0.0000 0.0000 0.1455 [4 per cell]  1 Li 2.18, 4 As 2.44
V1 0.0000 0.0000 0.5000 [2 per cell]  2 Li 2.66, 8 As 2.98
As1 0.0000 0.5000 0.2500 [4 per cell]  4 Li 2.44

- total energy (eV per atom) = -4.43
- DFT formation energy (eV per atom) = 0.0177

No. 10
## Pr12Te3C5 (PBE)

Data for a relaxed structure of Pr12Te3C5.

Unit cell a=16.5633 b=16.5633 c=16.5633 alpha=90.00 beta=90.00 gamma=90.00
With the nearest neighbours (Å) after each atom.
Space group Ia-3d (No. 230)
Symmetry-distinct sites (fractional):
Pr1 0.0351 0.0528 0.6477 [96 per cell]  2 C 2.42-2.66
Te1 0.0000 0.2500 0.1250 [24 per cell]  8 Pr 3.27-3.34
C1 0.0000 0.0000 0.0000 [16 per cell]  6 Pr 2.66
C2 0.0000 0.2500 0.3750 [24 per cell]  4 Pr 2.42

- total energy (eV per atom) = -5.97

No. 11
## Pr4TcHg (PBE)

Data for a relaxed structure of Pr4TcHg.

Unit cell a=8.9133 b=13.2091 c=6.4976 alpha=90.00 beta=106.97 gamma=90.00
With the nearest neighbours (Å) after each atom.
Space group C2/c (No. 15)
Symmetry-distinct sites (fractional):
Pr1 0.1066 0.1694 0.0432 [8 per cell]  2 Tc 2.90-2.92
Pr2 0.2130 0.4196 0.4015 [8 per cell]  2 Tc 3.07-3.18, 2 Hg 3.28-3.40
Tc1 0.0000 0.0008 0.7500 [4 per cell]  8 Pr 2.90-3.18, 2 Tc 3.25
Hg1 0.0000 0.3764 0.7500 [4 per cell]  8 Pr 3.28-3.42

- total energy (eV per atom) = -5.13
- DFT formation energy (eV per atom) = -0.1631

No. 12
## Np3Ga4Au2 (PBE)

Data for a relaxed structure of Np3Ga4Au2.

Unit cell a=8.4557 b=14.5285 c=5.6955 alpha=90.00 beta=90.00 gamma=90.00
With the nearest neighbours (Å) after each atom.
Space group Cccm (No. 66)
Symmetry-distinct sites (fractional):
Np1 0.0000 0.0000 0.2500 [4 per cell]  2 Np 2.85, 8 Ga 3.11-3.17, 4 Au 3.12
Np2 0.0000 0.3396 0.2500 [8 per cell]  2 Np 2.85, 8 Ga 3.09-3.18
Ga1 0.1664 0.1696 0.0000 [8 per cell]  2 Ga 2.73-2.80, 3 Au 2.78-2.85
Ga2 0.1728 0.4990 0.0000 [8 per cell]  4 Ga 2.80-2.92, 1 Au 2.80, 6 Np 3.09-3.11
Au1 0.1624 0.1664 0.5000 [8 per cell]  4 Ga 2.78-2.85, 1 Au 2.84

- total energy (eV per atom) = -6.64
- DFT formation energy (eV per atom) = -0.2527